Record 1
The following is a DFT calculation (PBEsol) of a relaxed structure of Na5Ti2Si2PO13.

Output
The calculation puts the energy relative to the elements, uncorrected at -2574 meV per atom.

abc: 5.408 7.101 14.500
angles: 99.96 96.55 90.62
Positions (direct):
O1 0.860 0.174 0.908
Na1 0.243 0.742 0.417
Na2 0.325 0.540 0.604
O2 0.454 0.093 0.211
O3 0.681 0.429 0.232
O4 0.332 0.230 0.527
Si1 0.353 0.359 0.802
O5 0.949 0.126 0.207
Na3 0.757 0.258 0.583
O6 0.235 0.033 0.364
O7 0.668 0.770 0.473
Ti1 0.223 0.616 0.010
O8 0.319 0.571 0.768
P1 0.178 0.226 0.430
O9 0.902 0.761 0.243
O10 0.051 0.874 0.793
O11 0.102 0.775 0.560
O12 0.765 0.967 0.636
Si2 0.323 0.796 0.824
Ti2 0.826 0.071 0.778
Na4 0.243 0.122 0.000
O13 0.360 0.800 0.937
O14 0.412 0.395 0.918
Na5 0.176 0.421 0.232
O15 0.898 0.225 0.440
Si3 0.677 0.204 0.176
O16 0.546 0.907 0.789
O17 0.919 0.577 0.932
O18 0.588 0.605 0.082
Ti3 0.174 0.929 0.222
O19 0.589 0.273 0.750
Na6 0.757 0.878 0.000
O20 0.081 0.423 0.068
P2 0.822 0.774 0.570
O21 0.748 0.598 0.612
O22 0.252 0.402 0.388
Na7 0.675 0.460 0.396
Na8 0.678 0.968 0.362
O23 0.140 0.826 0.092
O24 0.098 0.239 0.757
Na9 0.322 0.032 0.638
Si4 0.647 0.641 0.198
Na10 0.824 0.579 0.768
O25 0.640 0.200 0.063
O26 0.411 0.727 0.250
Ti4 0.777 0.384 0.990

---

Record 2
The following is a DFT calculation (PBEsol) of a relaxed structure of Na5Zr4Si3P3O24.

Output
The calculation puts the energy relative to the elements, uncorrected at -2749 meV per atom.

abc: 9.045 9.045 9.145
angles: 60.36 60.36 60.00
Positions (direct):
O1 0.483 0.238 0.671
O2 0.517 0.391 0.329
O3 0.178 0.974 0.522
O4 0.858 0.052 0.832
Na1 0.252 0.252 0.245
O5 0.477 0.687 0.998
O6 0.838 0.477 0.998
O7 0.948 0.142 0.168
O8 0.391 0.762 0.329
Na2 0.500 0.858 0.500
O9 0.762 0.517 0.329
Zr1 0.604 0.604 0.187
O10 0.742 0.948 0.168
O11 0.313 0.523 0.002
Zr2 0.899 0.899 0.304
O12 0.162 0.313 0.002
O13 0.326 0.178 0.522
Si1 0.209 0.791 0.500
Si2 0.791 0.500 0.500
O14 0.052 0.258 0.832
O15 0.674 0.026 0.478
Zr3 0.396 0.396 0.813
O16 0.523 0.162 0.002
O17 0.238 0.609 0.671
P1 0.700 0.000 0.000
O18 0.687 0.838 0.998
P2 0.300 0.700 0.000
O19 0.609 0.483 0.671
Si3 0.500 0.209 0.500
O20 0.258 0.858 0.832
Na3 0.858 0.142 0.500
O21 0.026 0.822 0.478
P3 0.000 0.300 0.000
Zr4 0.101 0.101 0.696
O22 0.142 0.742 0.168
O23 0.822 0.674 0.478
Na4 0.142 0.500 0.500
O24 0.974 0.326 0.522
Na5 0.748 0.748 0.755

---

Record 3
The following is a DFT calculation (PBEsol) of a relaxed structure of Na3Zr2Si2PO12.

Output
The calculation puts the energy relative to the elements, uncorrected at -2759 meV per atom.

abc: 9.074 9.074 9.141
angles: 60.51 60.51 60.23
Positions (direct):
Si1 0.252 0.463 0.493
Si2 0.051 0.949 0.000
Si3 0.537 0.748 0.507
O1 0.920 0.557 0.982
O2 0.489 0.755 0.353
Zr1 0.853 0.349 0.693
O3 0.766 0.067 0.496
Na1 0.994 0.481 0.239
O4 0.443 0.080 0.018
O5 0.702 0.393 0.197
Zr2 0.347 0.856 0.191
Zr3 0.144 0.653 0.809
O6 0.369 0.726 0.695
O7 0.887 0.997 0.176
O8 0.416 0.274 0.482
Na2 0.599 0.401 0.500
O9 0.607 0.298 0.803
O10 0.521 0.232 0.131
O11 0.282 0.411 0.993
P1 0.747 0.538 0.013
Na3 0.914 0.755 0.436
P2 0.462 0.253 0.987
O12 0.003 0.113 0.824
O13 0.245 0.511 0.647
Na4 0.245 0.086 0.564
O14 0.123 0.004 0.326
O15 0.589 0.718 0.007
Na5 0.386 0.614 0.000
Si4 0.953 0.047 0.500
O16 0.246 0.929 0.990
O17 0.071 0.754 0.010
O18 0.996 0.877 0.674
O19 0.933 0.234 0.504
O20 0.726 0.584 0.518
O21 0.561 0.933 0.465
Na6 0.519 0.006 0.761
O22 0.274 0.631 0.305
Zr4 0.651 0.147 0.307
O23 0.067 0.439 0.535
O24 0.768 0.479 0.869

---

Record 4
The following is a DFT calculation (PBEsol) of a relaxed structure of NaSmP4O12.

Output
The calculation puts the energy relative to the elements, uncorrected at -2464 meV per atom.

abc: 7.207 9.854 13.112
angles: 90.00 90.00 89.47
Positions (direct):
O1 0.570 0.293 0.612
O2 0.571 0.835 0.626
O3 0.217 0.636 0.021
O4 0.236 0.917 0.338
O5 0.264 0.583 0.838
P1 0.732 0.200 0.592
P2 0.147 0.696 0.128
O6 0.908 0.796 0.666
O7 0.821 0.155 0.866
O8 0.736 0.417 0.162
Sm1 0.013 0.023 0.219
P3 0.124 0.265 0.615
O9 0.721 0.104 0.290
Sm2 0.513 0.523 0.281
O10 0.679 0.345 0.366
P4 0.768 0.300 0.092
O11 0.217 0.212 0.513
O12 0.179 0.845 0.134
O13 0.783 0.364 0.979
O14 0.134 0.150 0.689
P5 0.750 0.743 0.602
O15 0.221 0.604 0.210
P6 0.232 0.700 0.908
P7 0.376 0.235 0.115
O16 0.283 0.864 0.521
O17 0.408 0.296 0.834
Na1 0.500 0.936 0.223
O18 0.199 0.400 0.648
P8 0.647 0.196 0.372
O19 0.866 0.850 0.311
P9 0.353 0.804 0.628
Sm3 0.987 0.977 0.781
Sm4 0.487 0.477 0.719
O20 0.301 0.100 0.148
P10 0.853 0.304 0.872
P11 0.624 0.765 0.885
O21 0.279 0.896 0.710
O22 0.413 0.793 0.919
O23 0.071 0.335 0.874
Na2 0.000 0.436 0.277
O24 0.712 0.594 0.610
O25 0.913 0.293 0.581
O26 0.783 0.788 0.487
P12 0.268 0.800 0.408
O27 0.634 0.650 0.811
O28 0.764 0.083 0.662
O29 0.699 0.900 0.852
P13 0.250 0.257 0.398
P14 0.750 0.757 0.102
P15 0.250 0.243 0.898
O30 0.212 0.094 0.890
O31 0.366 0.350 0.189
O32 0.788 0.906 0.110
O33 0.092 0.204 0.334
O34 0.929 0.665 0.126
P16 0.876 0.735 0.385
O35 0.429 0.165 0.374
O36 0.592 0.704 0.166
O37 0.779 0.396 0.790
Na3 0.500 0.064 0.777
O38 0.717 0.712 0.987
O39 0.801 0.600 0.352
O40 0.283 0.288 0.013
O41 0.930 0.207 0.112
O42 0.587 0.207 0.081
Na4 0.000 0.564 0.723
O43 0.321 0.655 0.634
O44 0.087 0.707 0.419
O45 0.288 0.406 0.390
O46 0.430 0.707 0.388
O47 0.717 0.136 0.479
O48 0.070 0.793 0.888

---

Record 5
The following is a DFT calculation (PBEsol) of a relaxed structure of Na2SrP4O12.

Output
The calculation puts the energy relative to the elements, uncorrected at -2393 meV per atom.

abc: 5.004 9.843 9.843
angles: 90.00 90.00 90.00
Positions (direct):
O1 0.132 0.610 0.110
P1 0.000 0.213 0.500
O2 0.770 0.438 0.712
O3 0.230 0.212 0.062
O4 0.230 0.788 0.938
O5 0.230 0.562 0.712
Na1 0.500 0.750 0.250
O6 0.770 0.212 0.938
O7 0.770 0.938 0.788
Na2 0.500 0.250 0.750
O8 0.132 0.890 0.610
Na3 0.500 0.750 0.750
P2 0.000 0.000 0.713
Na4 0.500 0.250 0.250
O9 0.868 0.110 0.610
O10 0.230 0.438 0.288
Sr1 0.500 0.500 0.500
O11 0.770 0.712 0.562
P3 0.000 0.787 0.500
O12 0.770 0.788 0.062
O13 0.230 0.712 0.438
O14 0.770 0.562 0.288
P4 0.000 0.000 0.287
O15 0.132 0.110 0.390
O16 0.230 0.062 0.788
O17 0.132 0.390 0.890
O18 0.230 0.288 0.562
O19 0.230 0.938 0.212
O20 0.868 0.610 0.890
O21 0.770 0.062 0.212
O22 0.770 0.288 0.438
P5 0.000 0.500 0.787
Sr2 0.500 0.000 0.000
P6 0.000 0.287 0.000
P7 0.000 0.500 0.213
O23 0.868 0.390 0.110
O24 0.868 0.890 0.390
P8 0.000 0.713 0.000

---

Record 6
The following is a DFT calculation (PBEsol) of a relaxed structure of NaSrPO4.

Output
The calculation puts the energy relative to the elements, uncorrected at -2656 meV per atom.

abc: 5.428 7.040 9.667
angles: 90.00 90.00 90.00
Positions (direct):
P1 0.750 0.274 0.580
Na1 0.750 0.332 0.941
O1 0.984 0.204 0.656
O2 0.750 0.689 0.069
Na2 0.250 0.668 0.059
O3 0.750 0.994 0.927
O4 0.750 0.494 0.573
O5 0.984 0.704 0.844
O6 0.516 0.704 0.844
Sr1 0.750 0.503 0.301
Sr2 0.250 0.497 0.699
O7 0.484 0.296 0.156
O8 0.516 0.204 0.656
Sr3 0.750 0.003 0.199
O9 0.250 0.811 0.569
Sr4 0.250 0.997 0.801
O10 0.016 0.796 0.344
P2 0.250 0.726 0.420
Na3 0.750 0.832 0.559
O11 0.484 0.796 0.344
P3 0.250 0.226 0.080
P4 0.750 0.774 0.920
O12 0.016 0.296 0.156
O13 0.250 0.006 0.073
Na4 0.250 0.168 0.441
O14 0.250 0.506 0.427
O15 0.750 0.189 0.431
O16 0.250 0.311 0.931

---

Record 7
The following is a DFT calculation (PBEsol) of a relaxed structure of Na2TbPWO8.

Output
The calculation puts the energy relative to the elements, uncorrected at -2543 meV per atom.

abc: 6.909 11.382 11.382
angles: 64.21 72.33 72.33
Positions (direct):
O1 0.171 0.061 0.077
W1 0.822 0.428 0.928
O2 0.582 0.845 0.141
Na1 0.852 0.704 0.605
O3 0.671 0.077 0.061
O4 0.694 0.896 0.639
O5 0.771 0.139 0.396
O6 0.306 0.104 0.361
O7 0.089 0.394 0.849
O8 0.411 0.151 0.606
O9 0.068 0.655 0.359
Tb1 0.750 0.679 0.321
P1 0.750 0.432 0.568
O10 0.691 0.577 0.561
O11 0.194 0.639 0.896
O12 0.332 0.651 0.106
P2 0.250 0.568 0.432
Na2 0.662 0.796 0.895
O13 0.932 0.345 0.641
O14 0.918 0.859 0.155
W2 0.678 0.072 0.572
O15 0.911 0.606 0.151
Tb2 0.750 0.179 0.821
W3 0.322 0.928 0.428
O16 0.168 0.894 0.349
Tb3 0.250 0.821 0.179
P3 0.250 0.068 0.932
Tb4 0.250 0.321 0.679
Na3 0.838 0.105 0.204
O17 0.729 0.604 0.861
O18 0.309 0.423 0.439
O19 0.432 0.641 0.345
O20 0.832 0.106 0.651
P4 0.750 0.932 0.068
O21 0.229 0.861 0.604
O22 0.809 0.439 0.423
O23 0.829 0.939 0.923
Na4 0.338 0.204 0.105
O24 0.329 0.923 0.939
O25 0.568 0.359 0.655
Na5 0.148 0.296 0.395
O26 0.082 0.141 0.845
O27 0.806 0.361 0.104
O28 0.668 0.349 0.894
Na6 0.162 0.895 0.796
Na7 0.648 0.395 0.296
O29 0.418 0.155 0.859
Na8 0.352 0.605 0.704
O30 0.191 0.561 0.577
O31 0.589 0.849 0.394
O32 0.271 0.396 0.139
W4 0.178 0.572 0.072

---

Record 8
The following is a DFT calculation (PBEsol) of a relaxed structure of NaTePO2.

Output
The calculation puts the energy relative to the elements, uncorrected at 710 meV per atom.

abc: 4.037 4.037 5.119
angles: 90.00 90.00 90.00
Site moments in Bohr magnetons follow the coordinates.
Positions (direct):
Te1 0.500 0.500 0.500  -0.02
O1 0.000 0.500 0.000  0.84
Na1 0.000 0.000 0.000  0.00
O2 0.500 0.000 0.000  0.84
P1 0.000 0.000 0.500  0.21

---

E values (in eV per atom) by entry order: -7.320; -7.978; -7.891; -7.611; -7.171; -6.946; -7.882; -3.533.